# Hf3NiGe3

Hf3NiGe3 after structural relaxation (PBE, Alexandria via LeMat-Bulk).

Summary:
The space-group type is C2/m (12). Its formation energy is -683.7 meV/atom. The magnetic moment is 0.000 μB/atom. The raw total energy is -7.7542 eV/atom.

```
data_Hf3NiGe3
_chemical_formula_sum 'Hf6 Ni2 Ge6'
_cell_length_a 3.8982
_cell_length_b 5.3343
_cell_length_c 12.5917
_cell_angle_alpha 84.62
_cell_angle_beta 81.10
_cell_angle_gamma 68.57
_symmetry_space_group_name_H-M 'P 1'
_symmetry_Int_Tables_number 1
loop_
_symmetry_equiv_pos_as_xyz
'x,y,z'
loop_
_atom_site_label
_atom_site_type_symbol
_atom_site_fract_x
_atom_site_fract_y
_atom_site_fract_z
Hf1 Hf 0.6024 0.7152 0.0801
Hf2 Hf 0.5186 0.3414 0.6213
Hf3 Hf 0.4814 0.6586 0.3787
Ge1 Ge 0.1427 0.2556 0.4591
Hf4 Hf 0.7416 0.7463 0.7705
Ge2 Ge 0.1251 0.8254 0.9245
Ge3 Ge 0.8573 0.7444 0.5409
Ni1 Ni 0.2352 0.9170 0.6126
Hf5 Hf 0.3976 0.2848 0.9199
Hf6 Hf 0.2584 0.2537 0.2295
Ge4 Ge 0.0203 0.1941 0.7653
Ge5 Ge 0.9797 0.8059 0.2347
Ge6 Ge 0.8749 0.1746 0.0755
Ni2 Ni 0.7648 0.0830 0.3874
```

---

# CsAg2PF8

CsAg2PF8 after structural relaxation (PBE, Alexandria via LeMat-Bulk).

Summary:
The space-group type is P-3m1 (164). The magnetic moment is 0.000 μB/atom. The raw total energy is -4.2561 eV/atom. For the energy relative to the elements, uncorrected, the calculation gives -2.011 eV per atom.

```
data_CsAg2PF8
_chemical_formula_sum 'Cs1 Ag2 P1 F8'
_cell_length_a 5.3288
_cell_length_b 5.3288
_cell_length_c 8.2250
_cell_angle_alpha 90.00
_cell_angle_beta 90.00
_cell_angle_gamma 120.00
_symmetry_space_group_name_H-M 'P 1'
_symmetry_Int_Tables_number 1
loop_
_symmetry_equiv_pos_as_xyz
'x,y,z'
loop_
_atom_site_label
_atom_site_type_symbol
_atom_site_fract_x
_atom_site_fract_y
_atom_site_fract_z
F1 F 0.1450 0.8550 0.1155
Ag1 Ag 0.3333 0.6667 0.7303
F2 F 0.8550 0.7100 0.8845
F3 F 0.8550 0.1450 0.8845
F4 F 0.1450 0.2900 0.1155
F5 F 0.6667 0.3333 0.5292
P1 P 0.0000 0.0000 0.0000
Ag2 Ag 0.6667 0.3333 0.2697
F6 F 0.2900 0.1450 0.8845
Cs1 Cs 0.0000 0.0000 0.5000
F7 F 0.7100 0.8550 0.1155
F8 F 0.3333 0.6667 0.4708
```

---

# BaZrCl2

BaZrCl2 after structural relaxation (PBE, Alexandria via LeMat-Bulk).

Summary:
The space-group type is Immm (71). For the distance to the lowest polymorph of the same formula, the calculation gives 61 meV/atom. The magnetic moment is 0.060 μB/atom. The raw total energy is -4.5426 eV/atom. For the energy relative to the elements, uncorrected, the calculation gives -1.002 eV per atom.

```
data_BaZrCl2
_chemical_formula_sum 'Ba1 Zr1 Cl2'
_cell_length_a 6.1123
_cell_length_b 6.1123
_cell_length_c 6.1123
_cell_angle_alpha 146.86
_cell_angle_beta 113.52
_cell_angle_gamma 76.32
_symmetry_space_group_name_H-M 'P 1'
_symmetry_Int_Tables_number 1
loop_
_symmetry_equiv_pos_as_xyz
'x,y,z'
loop_
_atom_site_label
_atom_site_type_symbol
_atom_site_fract_x
_atom_site_fract_y
_atom_site_fract_z
Ba1 Ba 0.2500 0.7500 0.5000
Cl1 Cl 0.9590 0.9590 0.0000
Zr1 Zr 0.7500 0.2500 0.5000
Cl2 Cl 0.5410 0.5410 0.0000
```

---

# ZnInGaSn

ZnInGaSn after structural relaxation (PBE, Alexandria via LeMat-Bulk).

Summary:
The space-group type is F-43m (216). Its formation energy is 82.4 meV/atom. The magnetic moment is 0.000 μB/atom. The raw total energy is -2.6782 eV/atom.

```
data_ZnInGaSn
_chemical_formula_sum 'Zn1 In1 Ga1 Sn1'
_cell_length_a 5.0533
_cell_length_b 5.0533
_cell_length_c 5.0533
_cell_angle_alpha 60.00
_cell_angle_beta 60.00
_cell_angle_gamma 60.00
_symmetry_space_group_name_H-M 'P 1'
_symmetry_Int_Tables_number 1
loop_
_symmetry_equiv_pos_as_xyz
'x,y,z'
loop_
_atom_site_label
_atom_site_type_symbol
_atom_site_fract_x
_atom_site_fract_y
_atom_site_fract_z
In1 In 0.7500 0.7500 0.7500
Sn1 Sn 0.2500 0.2500 0.2500
Ga1 Ga 0.5000 0.5000 0.5000
Zn1 Zn 0.0000 0.0000 0.0000
```